(A)
The following is a DFT calculation (PBE-GGA) of crystalline RbMgBr2 at its relaxed geometry.

a b c (Å): 8.029 8.029 8.029
angles (deg): 90.00 90.00 90.00
Space group Fm-3m (No. 225)
Asymmetric unit:
Rb: 0.000 0.000 0.000
Mg: 0.000 0.000 0.500
Br: 0.250 0.250 0.250

Computed properties:
- Calculated volume: 32.4 Å³/atom
- Total moment: 0.90 μB per formula unit


(B)
The following is a DFT calculation (PBE-GGA) of crystalline RbMgBr2 at its relaxed geometry.

a b c (Å): 4.7650 4.7650 27.6002
angles (deg): 90.00 90.00 120.00
Space group R-3m (No. 166, hexagonal axes)
Asymmetric unit:
Rb: 0.0000 0.0000 0.0000
Mg: 0.0000 0.0000 0.5000
Br: 0.0000 0.0000 0.4072

Computed properties:
- Calculated volume: 45.2 Å³/atom
- Total moment: 0.00 μB per formula unit


Stability ranking, top entry: (B); the second entry is 95 meV/atom less favorable.


(A)
The following is a DFT calculation (PBE-GGA) of crystalline Rb2MgBr2 at its relaxed geometry.

a b c (Å): 9.845 9.845 4.233
angles (deg): 90.00 90.00 90.00
Space group P4/mbm (No. 127)
Asymmetric unit:
Rb: 0.143 0.357 0.000
Mg: 0.000 0.000 0.000
Br: 0.153 0.653 0.500

Computed properties:
- Calculated volume: 41.0 Å³/atom
- Total moment: 0.00 μB per formula unit


(B)
The following is a DFT calculation (PBE-GGA) of crystalline Rb2MgBr2 at its relaxed geometry.

a b c (Å): 6.620 6.620 14.414
angles (deg): 90.00 90.00 90.00
Space group I4/mmm (No. 139)
Asymmetric unit:
Rb: 0.000 0.000 0.204
Mg: 0.000 0.000 0.500
Br: 0.000 0.500 0.250

Computed properties:
- Calculated volume: 63.2 Å³/atom
- Total moment: 0.00 μB per formula unit


Stability ranking, top entry: (A); the second entry is 46 meV/atom less favorable.


(A)
The following is a DFT calculation (PBE-GGA) of crystalline Rb2Mg2Br at its relaxed geometry.

a b c (Å): 7.589 7.589 9.259
angles (deg): 90.00 90.00 90.00
Space group I4/mmm (No. 139)
Asymmetric unit:
Rb: 0.000 0.500 0.250
Mg: 0.000 0.000 0.181
Br: 0.000 0.000 0.500

Computed properties:
- Calculated volume: 53.3 Å³/atom
- Total moment: 0.00 μB per formula unit


(B)
The following is a DFT calculation (PBE-GGA) of crystalline Rb2Mg2Br at its relaxed geometry.

a b c (Å): 9.052 9.052 5.721
angles (deg): 90.00 90.00 90.00
Space group P4/mbm (No. 127)
Asymmetric unit:
Rb: 0.181 0.319 0.000
Mg: 0.123 0.623 0.500
Br: 0.000 0.000 0.500

Computed properties:
- Calculated volume: 46.9 Å³/atom
- Total moment: 0.00 μB per formula unit


Stability ranking, top entry: (B); the second entry is 77 meV/atom less favorable.